1.
Eu2PuHg (PBE, optimized geometry); formation energy = -105.3 meV per atom; calculated volume = 128.1 Å³ per cell; energy above the lowest structure with this stoichiometry = 0.000 eV/atom; crystal system = tetragonal; N(E_F) = 13.50 states/eV/cell
1.0
3.7765 0.0000 0.0000
0.0000 3.7765 0.0000
0.0000 0.0000 8.9809
Eu Pu Hg
2 1 1
Direct
0.0000 0.0000 0.2190 Eu
0.0000 0.0000 0.7810 Eu
0.5000 0.5000 0.5000 Pu
0.5000 0.5000 0.0000 Hg

---

2.
Pm2ThSc7 (PBE, optimized geometry); formation energy = 154.1 meV per atom; calculated volume = 277.4 Å³ per cell; crystal system = orthorhombic; N(E_F) = 17.53 states/eV/cell
1.0
3.0616 -13.6793 0.0000
3.0616 13.6793 0.0000
0.0000 0.0000 3.3123
Pm Th Sc
2 1 7
Direct
0.2086 0.7914 0.0000 Pm
0.7914 0.2086 0.0000 Pm
0.5000 0.5000 0.5000 Th
0.0000 0.0000 0.0000 Sc
0.1572 0.3523 0.0000 Sc
0.3186 0.6814 0.5000 Sc
0.3523 0.1572 0.0000 Sc
0.6477 0.8428 0.0000 Sc
0.6814 0.3186 0.5000 Sc
0.8428 0.6477 0.0000 Sc

---

3.
Sc2GaF8 (PBE, optimized geometry); calculated volume = 149.5 Å³ per cell; formation energy without anion corrections = -3.3361 eV per atom; crystal system = monoclinic; N(E_F) = 2.01 states/eV/cell
1.0
4.3375 -3.3193 0.0000
4.3375 3.3193 0.0000
-1.2174 0.0000 5.1934
Sc Ga F
2 1 8
Direct
0.1808 0.1808 0.4392 Sc
0.8192 0.8192 0.5608 Sc
0.5000 0.5000 0.0000 Ga
0.0585 0.0585 0.7332 F
0.1582 0.5456 0.6862 F
0.3248 0.3248 0.1947 F
0.4544 0.8418 0.3138 F
0.5456 0.1582 0.6862 F
0.6752 0.6752 0.8053 F
0.8418 0.4544 0.3138 F
0.9415 0.9415 0.2668 F

---

4.
HfZrOs2 (PBE, optimized geometry); formation energy = -613.3 meV per atom; calculated volume = 69.9 Å³ per cell; crystal system = cubic; N(E_F) = 0.47 states/eV/cell
1.0
0.0000 3.2696 3.2696
3.2696 0.0000 3.2696
3.2696 3.2696 0.0000
Hf Zr Os
1 1 2
Direct
0.0000 0.0000 0.0000 Hf
0.5000 0.5000 0.5000 Zr
0.2500 0.2500 0.2500 Os
0.7500 0.7500 0.7500 Os